Below is an optimized crystal structure of KOsS2Cl, with properties calculated at the GGA-PBE level.

```
KOsS2Cl
1.0
4.533 0.000 0.000
0.000 4.533 0.000
0.000 0.000 5.728
K Os S Cl
1 1 2 1
Direct
0.500 0.500 0.500
0.000 0.000 0.000
0.000 0.500 0.000
0.500 0.000 0.000
0.000 0.000 0.500
```

Summary:
Excess energy over the best structure of this formula in the dataset, meV/atom: 0
ΔE_f (raw), meV per atom: -353